[1]
VASP calculation (PBE) on crystalline LiZrSc at its relaxed geometry.

The space group is Pnma (No. 62) and the conventional cell measures 5.8512, 4.8291 and 8.9153 Å, with angles of 90.00, 90.00 and 90.00 degrees. The asymmetric unit holds Li at (0.1998, 0.2500, 0.1018), Zr at (0.0215, 0.2500, 0.7928) and Sc at (0.1777, 0.2500, 0.4293).

For the energy relative to the lowest polymorph listed for this composition, the calculation gives 0.134 eV per atom. The calculation puts the total energy at -5.413 eV/atom. The formation energy comes out at 185 meV/atom.

=====

[2]
VASP calculation (PBE) on crystalline Li3Se at its relaxed geometry.

The space group is P2/m (No. 10) and the conventional cell measures 4.1837, 4.0302 and 5.2385 Å, with angles of 90.00, 106.74 and 90.00 degrees. The asymmetric unit holds Li at (0.0000, 0.0000, 0.0000), Li at (0.3221, 0.5000, 0.6987) and Se at (0.0000, 0.0000, 0.5000).

For the energy relative to the lowest polymorph listed for this composition, the calculation gives 0.181 eV per atom. The calculation puts the total energy at -2.959 eV/atom. The uncorrected formation energy comes out at -2.61 eV per formula unit.

=====

[3]
VASP calculation (PBE) on crystalline Li3Se at its relaxed geometry.

The space group is Pnma (No. 62) and the conventional cell measures 6.7399, 7.8791 and 5.5759 Å, with angles of 90.00, 90.00 and 90.00 degrees. The asymmetric unit holds Li at (0.0306, 0.2500, 0.0990), Li at (0.1727, 0.0536, 0.6758) and Se at (0.1100, 0.7500, 0.4711).

For the energy relative to the lowest polymorph listed for this composition, the calculation gives 0.067 eV per atom. The calculation puts the total energy at -3.073 eV/atom. The uncorrected formation energy comes out at -3.07 eV per formula unit.

=====

[4]
VASP calculation (PBE) on crystalline LiSe4 at its relaxed geometry.

The space group is Pm-3m (No. 221) and the conventional cell measures 4.6778, 4.6778 and 4.6778 Å, with angles of 90.00, 90.00 and 90.00 degrees. The asymmetric unit holds Li at (0.0000, 0.0000, 0.0000), Se at (0.0000, 0.0000, 0.5000) and Se at (0.5000, 0.5000, 0.5000).

For the energy relative to the lowest polymorph listed for this composition, the calculation gives 0.671 eV per atom. The calculation puts the total energy at -2.725 eV/atom. The uncorrected formation energy comes out at 2.23 eV per formula unit.

=====

[5]
VASP calculation (PBE) on crystalline LiSe2 at its relaxed geometry.

The space group is I4/mmm (No. 139) and the conventional cell measures 2.8233, 2.8233 and 16.3406 Å, with angles of 90.00, 90.00 and 90.00 degrees. The asymmetric unit holds Li at (0.0000, 0.0000, 0.0000) and Se at (0.0000, 0.0000, 0.3793).

For the energy relative to the lowest polymorph listed for this composition, the calculation gives 0.065 eV per atom. The calculation puts the total energy at -3.410 eV/atom. The uncorrected formation energy comes out at -1.35 eV per formula unit.

=====

[6]
VASP calculation (PBE) on crystalline Li2Se at its relaxed geometry.

The space group is I4/mmm (No. 139) and the conventional cell measures 3.6897, 3.6897 and 7.4151 Å, with angles of 90.00, 90.00 and 90.00 degrees. The asymmetric unit holds Li at (0.0000, 0.0000, 0.1591) and Se at (0.0000, 0.0000, 0.5000).

The calculation puts the total energy at -3.457 eV/atom. The uncorrected formation energy comes out at -3.06 eV per formula unit.

=====

What did the fourth record say?
VASP calculation (PBE) on crystalline LiSe4 at its relaxed geometry.

The space group is Pm-3m (No. 221) and the conventional cell measures 4.6778, 4.6778 and 4.6778 Å, with angles of 90.00, 90.00 and 90.00 degrees. The asymmetric unit holds Li at (0.0000, 0.0000, 0.0000), Se at (0.0000, 0.0000, 0.5000) and Se at (0.5000, 0.5000, 0.5000).

For the energy relative to the lowest polymorph listed for this composition, the calculation gives 0.671 eV per atom. The calculation puts the total energy at -2.725 eV/atom. The uncorrected formation energy comes out at 2.23 eV per formula unit.